Record 1
The following is a DFT calculation (SCAN) of a crystal of Y2BiN relaxed with PBEsol.

Computed properties:
As for the space-group type: I-42d, No. 122. Its total magnetic moment is 0.0 μB per formula unit. The calculated total energy is -148.77 eV per formula unit. The volume is 23.706 Å³ per atom.

Structure (POSCAR):
```
Y2BiN
1.0
6.2932 0.0276 0.0436
-2.5032 5.7740 -0.0436
-2.5032 -2.5034 5.2032
N Y Bi
2 4 2
direct
0.0000 0.5000 0.5000
0.5000 0.2500 0.7500
0.6033 0.3750 0.4783
0.1033 0.2283 0.6250
0.8967 0.5217 0.1250
0.3967 0.8750 0.7717
0.0000 0.0000 0.0000
0.5000 0.7500 0.2500
```



Record 2
The following is a DFT calculation (SCAN) of a crystal of LaPNCl2 relaxed with PBEsol.

Computed properties:
As for the space-group type: P4/mmm, No. 123. Its total magnetic moment is 0.0 μB per formula unit. As for the density of states at the Fermi level: 1.585 states/eV/cell. The calculated total energy is -80.03 eV per formula unit. The volume is 17.335 Å³ per atom.

Structure (POSCAR):
```
LaPNCl2
1.0
4.4644 0.0000 0.0000
0.0000 4.4062 0.0000
0.0000 0.0000 4.4062
Cl La N P
2 1 1 1
direct
0.0000 0.5000 0.0000
0.0000 0.0000 0.5000
0.5000 0.5000 0.5000
0.0000 0.0000 0.0000
0.5000 0.0000 0.0000
```